# 1
## CuRu3 (PBE)

Data for CuRu3 after structural relaxation.

The space group is Pmmn (No. 59, origin choice 2) and the conventional cell measures 4.3030, 5.3345 and 4.7234 Å, with angles of 90.00, 90.00 and 90.00 degrees. The inequivalent atoms are Cu at (0.2500, 0.2500, 0.1532), Ru at (0.2500, 0.5092, 0.6563) and Ru at (0.2500, 0.7500, 0.1545).

The formation energy is 0.21 eV/atom. The calculation puts the total energy at -7.766 eV/atom.

# 2
## CuRu3 (PBE)

Data for CuRu3 after structural relaxation.

The space group is Pm-3n (No. 223) and the conventional cell measures 4.8050, 4.8050 and 4.8050 Å, with angles of 90.00, 90.00 and 90.00 degrees. The inequivalent atoms are Cu at (0.0000, 0.0000, 0.0000) and Ru at (0.0000, 0.2500, 0.5000).

The formation energy is 0.42 eV/atom. The calculation puts the total energy at -7.556 eV/atom.

# 3
## CuRu3 (PBE)

Data for CuRu3 after structural relaxation.

The space group is Fm-3m (No. 225) and the conventional cell measures 6.0541, 6.0541 and 6.0541 Å, with angles of 90.00, 90.00 and 90.00 degrees. The inequivalent atoms are Cu at (0.0000, 0.0000, 0.0000), Ru at (0.0000, 0.0000, 0.5000) and Ru at (0.2500, 0.2500, 0.2500).

The formation energy is 0.46 eV/atom. The calculation puts the total energy at -7.523 eV/atom.

# 4
## CuRu2 (PBE)

Data for CuRu2 after structural relaxation.

The space group is P4/mmm (No. 123) and the conventional cell measures 4.2065, 4.2065 and 2.6253 Å, with angles of 90.00, 90.00 and 90.00 degrees. The inequivalent atoms are Cu at (0.0000, 0.0000, 0.0000) and Ru at (0.0000, 0.5000, 0.5000).

The formation energy is 1.07 eV/atom. As for the energy above the most stable polymorph in this dataset: 914 meV per atom. The calculation puts the total energy at -6.479 eV/atom.

# 5
## CuRu5 (PBE)

Data for CuRu5 after structural relaxation.

The space group is Cmmm (No. 65) and the conventional cell measures 4.3324, 13.7358 and 2.7874 Å, with angles of 90.00, 90.00 and 90.00 degrees. The inequivalent atoms are Cu at (0.0000, 0.0000, 0.0000), Ru at (0.0000, 0.1476, 0.5000), Ru at (0.0000, 0.3113, 0.0000) and Ru at (0.0000, 0.5000, 0.5000).

The formation energy is 0.30 eV/atom. As for the energy above the most stable polymorph in this dataset: 172 meV per atom. The calculation puts the total energy at -8.109 eV/atom.

# 6
## CuRu2 (PBE)

Data for CuRu2 after structural relaxation.

The space group is Immm (No. 71) and the conventional cell measures 2.7399, 3.6759 and 7.9637 Å, with angles of 90.00, 90.00 and 90.00 degrees. The inequivalent atoms are Cu at (0.0000, 0.0000, 0.0000) and Ru at (0.0000, 0.0000, 0.3299).

The formation energy is 0.16 eV/atom. As for the energy above the most stable polymorph in this dataset: 5 meV per atom. The calculation puts the total energy at -7.389 eV/atom.

# 7
## CuRu5 (PBE)

Data for CuRu5 after structural relaxation.

The space group is Cm (No. 8) and the conventional cell measures 9.8295, 2.7316 and 6.3238 Å, with angles of 90.00, 104.05 and 90.00 degrees. The inequivalent atoms are Cu at (0.0000, 0.0000, 0.0000), Ru at (0.0562, 0.0000, 0.6096), Ru at (0.1688, 0.5000, 0.3342), Ru at (0.2228, 0.5000, 0.9364), Ru at (0.3326, 0.0000, 0.6641) and Ru at (0.3860, 0.0000, 0.2762).

The formation energy is 0.13 eV/atom. As for the energy above the most stable polymorph in this dataset: 0 meV per atom. The calculation puts the total energy at -8.281 eV/atom.

# 8
## Cu4Ru5 (PBE)

Data for Cu4Ru5 after structural relaxation.

The space group is I4/mmm (No. 139) and the conventional cell measures 7.9553, 7.9553 and 3.7671 Å, with angles of 90.00, 90.00 and 90.00 degrees. The inequivalent atoms are Cu at (0.0000, 0.3366, 0.0000), Ru at (0.0000, 0.0000, 0.0000) and Ru at (0.1644, 0.1644, 0.5000).

The formation energy is 0.27 eV/atom. As for the energy above the most stable polymorph in this dataset: 0 meV per atom. The calculation puts the total energy at -6.706 eV/atom.

# 9
## CuRu2 (PBE)

Data for CuRu2 after structural relaxation.

The space group is Pnma (No. 62) and the conventional cell measures 5.3499, 3.7409 and 8.0663 Å, with angles of 90.00, 90.00 and 90.00 degrees. The inequivalent atoms are Cu at (0.1140, 0.2500, 0.0844), Ru at (0.1205, 0.2500, 0.4170) and Ru at (0.1336, 0.2500, 0.7425).

The formation energy is 0.29 eV/atom. As for the energy above the most stable polymorph in this dataset: 134 meV per atom. The calculation puts the total energy at -7.259 eV/atom.

# 10
## Cu4Ru (PBE)

Data for Cu4Ru after structural relaxation.

The space group is I4/m (No. 87) and the conventional cell measures 5.7738, 5.7738 and 3.7530 Å, with angles of 90.00, 90.00 and 90.00 degrees. The inequivalent atoms are Cu at (0.0972, 0.6992, 0.0000) and Ru at (0.0000, 0.0000, 0.5000).

The formation energy is 0.22 eV/atom. As for the energy above the most stable polymorph in this dataset: 0 meV per atom. The calculation puts the total energy at -4.912 eV/atom.

# 11
## CuRu3 (PBE)

Data for CuRu3 after structural relaxation.

The space group is I4/mmm (No. 139) and the conventional cell measures 3.7188, 3.7188 and 7.8517 Å, with angles of 90.00, 90.00 and 90.00 degrees. The inequivalent atoms are Cu at (0.0000, 0.0000, 0.0000), Ru at (0.0000, 0.0000, 0.5000) and Ru at (0.0000, 0.5000, 0.2500).

The formation energy is 0.28 eV/atom. The calculation puts the total energy at -7.705 eV/atom.

# 12
## CuRu3 (PBE)

Data for CuRu3 after structural relaxation.

The space group is P2/m (No. 10) and the conventional cell measures 2.7119, 3.7985 and 5.2623 Å, with angles of 90.00, 90.10 and 90.00 degrees. The inequivalent atoms are Cu at (0.0000, 0.0000, 0.0000), Ru at (0.0000, 0.0000, 0.5000) and Ru at (0.4988, 0.5000, 0.2441).

The formation energy is 0.21 eV/atom. The calculation puts the total energy at -7.766 eV/atom.